Computed, not measured: a relaxed structure of In4SbCl at the PBE level of DFT.

Values from the calculation:
N(E_F) in states/eV per cell: 3.049
E_tot in eV/atom: -2.8115
Total magnetic moment in μB/cell: 0.00
Uncorrected formation energy in eV/atom: 0.0090
Theoretical density in g/cm3: 5.97

CIF file:
```
data_In4SbCl
_cell_length_a 6.236
_cell_length_b 6.236
_cell_length_c 6.236
_cell_angle_alpha 60.00
_cell_angle_beta 60.00
_cell_angle_gamma 60.00
_symmetry_space_group_name_H-M 'P 1'
_symmetry_Int_Tables_number 1
_symmetry_space_group_name_Hall 'P 1'
loop_
_atom_site_label
_atom_site_fract_x
_atom_site_fract_y
_atom_site_fract_z
In1 0.125 0.125 0.125
In2 0.125 0.125 0.625
In3 0.125 0.625 0.125
In4 0.625 0.125 0.125
Sb1 0.750 0.750 0.750
Cl1 0.500 0.500 0.500
```


Computed, not measured: a relaxed structure of FeTc2W at the PBE level of DFT.

Values from the calculation:
Energy of formation in eV per atom: 0.114
N(E_F) in states/eV per cell: 3.846
E_tot in eV/atom: -10.4234
Total magnetic moment in μB/cell: 1.49
Theoretical density in g/cm3: 12.74

CIF file:
```
data_FeTc2W
_cell_length_a 4.690
_cell_length_b 4.690
_cell_length_c 4.690
_cell_angle_alpha 131.42
_cell_angle_beta 131.42
_cell_angle_gamma 71.14
_symmetry_space_group_name_H-M 'P 1'
_symmetry_Int_Tables_number 1
_symmetry_space_group_name_Hall 'P 1'
loop_
_atom_site_label
_atom_site_fract_x
_atom_site_fract_y
_atom_site_fract_z
Fe1 0.000 0.000 0.000
Tc1 0.250 0.750 0.500
Tc2 0.500 0.500 0.000
W1 0.750 0.250 0.500
```


Computed, not measured: a relaxed structure of KSrSi2 at the PBE level of DFT.

Values from the calculation:
N(E_F) in states/eV per cell: 2.680
E_tot in eV/atom: -3.0497
Total magnetic moment in μB/cell: 0.00
Uncorrected formation energy in eV/atom: 0.3567
Theoretical density in g/cm3: 2.79
E above lowest polymorph in kJ/mol of formula units: 206

CIF file:
```
data_KSrSi2
_cell_length_a 5.813
_cell_length_b 5.813
_cell_length_c 5.813
_cell_angle_alpha 131.14
_cell_angle_beta 131.14
_cell_angle_gamma 71.59
_symmetry_space_group_name_H-M 'P 1'
_symmetry_Int_Tables_number 1
_symmetry_space_group_name_Hall 'P 1'
loop_
_atom_site_label
_atom_site_fract_x
_atom_site_fract_y
_atom_site_fract_z
K1 0.000 0.000 0.000
Sr1 0.750 0.250 0.500
Si1 0.250 0.750 0.500
Si2 0.500 0.500 0.000
```